[1]
Density functional theory data (SCAN) for a PBEsol-optimized structure of Nd2Mn17C2.

It has space group C2/m (No. 12), with a = 9.3976 Å, b = 8.5150 Å, c = 6.3453 Å, α = 90.00°, β = 98.36° and γ = 90.00°. Symmetry generates all atoms from Nd at (0.1420, 0.0000, 0.3404), Mn at (0.0000, 0.2346, 0.0000), Mn at (0.0000, 0.5000, 0.5000), Mn at (0.0948, 0.5000, 0.9056), Mn at (0.1021, 0.2645, 0.6625), Mn at (0.1423, 0.3645, 0.2790), Mn at (0.1544, 0.0000, 0.8698), Mn at (0.2500, 0.2500, 0.0000) and C at (0.2500, 0.2500, 0.5000).

Its crystal system is monoclinic. The calculation puts the formation energy at -2.0 kcal/mol of atoms.

=====

[2]
Density functional theory data (SCAN) for a PBEsol-optimized structure of Be2HgIr.

It has space group C2/m (No. 12), with a = 7.9190 Å, b = 2.9990 Å, c = 4.7365 Å, α = 90.00°, β = 103.69° and γ = 90.00°. Symmetry generates all atoms from Be at (0.2258, 0.0000, 0.1428), Hg at (0.0000, 0.0000, 0.5000) and Ir at (0.0000, 0.5000, 0.0000).

Its crystal system is monoclinic. The calculation puts the formation energy at -0.1 kcal/mol of atoms.

=====

[3]
Density functional theory data (SCAN) for a PBEsol-optimized structure of MgAu2Br.

It has space group Cmmm (No. 65), with a = 5.4141 Å, b = 6.4562 Å, c = 4.7815 Å, α = 90.00°, β = 90.00° and γ = 90.00°. Symmetry generates all atoms from Mg at (0.0000, 0.0000, 0.0000), Au at (0.0000, 0.2171, 0.5000) and Br at (0.0000, 0.5000, 0.0000).

Its uncorrected formation energy is -7.63 kcal/mol of atoms. Its crystal system is orthorhombic. Its offset from the most stable computed form is 8 meV/atom.

=====

[4]
Density functional theory data (SCAN) for a PBEsol-optimized structure of AlSbPt2.

It has space group Cmmm (No. 65), with a = 5.9271 Å, b = 6.7357 Å, c = 3.3812 Å, α = 90.00°, β = 90.00° and γ = 90.00°. Symmetry generates all atoms from Al at (0.0000, 0.0000, 0.0000), Sb at (0.0000, 0.5000, 0.0000) and Pt at (0.2500, 0.2500, 0.5000).

Its uncorrected formation energy is -8.35 kcal/mol of atoms. Its crystal system is orthorhombic. Its offset from the most stable computed form is 204 meV/atom.

=====

[5]
Density functional theory data (SCAN) for a PBEsol-optimized structure of Ba2Ag.

It has space group I4/mmm (No. 139), with a = 4.0678 Å, b = 4.0678 Å, c = 14.7033 Å, α = 90.00°, β = 90.00° and γ = 90.00°. Symmetry generates all atoms from Ba at (0.0000, 0.0000, 0.1290) and Ag at (0.0000, 0.0000, 0.5000).

Its crystal system is tetragonal. The calculation puts the formation energy at -4.1 kcal/mol of atoms. Its offset from the most stable computed form is 0 meV/atom.

=====

[6]
Density functional theory data (SCAN) for a PBEsol-optimized structure of K4HgP2.

It has space group R-3m (No. 166, hexagonal axes), with a = 5.5885 Å, b = 5.5885 Å, c = 26.8333 Å, α = 90.00°, β = 90.00° and γ = 120.00°. Symmetry generates all atoms from K at (0.0000, 0.0000, 0.1097), K at (0.0000, 0.0000, 0.2926), Hg at (0.0000, 0.0000, 0.5000) and P at (0.0000, 0.0000, 0.4111).

Its crystal system is trigonal. The calculation puts the formation energy at -11.6 kcal/mol of atoms.

=====

[7]
Density functional theory data (SCAN) for a PBEsol-optimized structure of NaNi3O5.

It has space group Pnma (No. 62), with a = 8.2940 Å, b = 2.8483 Å, c = 14.7965 Å, α = 90.00°, β = 90.00° and γ = 90.00°. Symmetry generates all atoms from Na at (0.0419, 0.2500, 0.1365), Ni at (0.1016, 0.2500, 0.6491), Ni at (0.1654, 0.7500, 0.4863), Ni at (0.1947, 0.2500, 0.3176), O at (0.0270, 0.2500, 0.4274), O at (0.0702, 0.7500, 0.2716), O at (0.1949, 0.7500, 0.7075), O at (0.2008, 0.2500, 0.8796) and O at (0.2467, 0.7500, 0.0544).

Its uncorrected formation energy is -29.62 kcal/mol of atoms. Its crystal system is orthorhombic.

=====

[8]
Density functional theory data (SCAN) for a PBEsol-optimized structure of PPtO2.

It has space group R-3m (No. 166, hexagonal axes), with a = 2.7625 Å, b = 2.7625 Å, c = 21.0841 Å, α = 90.00°, β = 90.00° and γ = 120.00°. Symmetry generates all atoms from P at (0.0000, 0.0000, 0.0000), Pt at (0.0000, 0.0000, 0.5000) and O at (0.0000, 0.0000, 0.0733).

Its uncorrected formation energy is -2.25 kcal/mol of atoms. Its crystal system is trigonal.

=====

no.,size of the total moment (μB/atom)
1,0.146
2,0.000
3,0.000
4,0.000
5,0.000
6,0.000
7,0.109
8,0.000